Entry 1:
# CrGaS3 (PBE, optimized geometry)
# Total energy: -0.208 hartree per atom
# Spin magnetization: 23.997 μB per cell
data_CrGaS3
_chemical_formula_sum 'Cr8 Ga8 S24'
_cell_length_a 11.586
_cell_length_b 10.667
_cell_length_c 6.243
_cell_angle_alpha 90.00
_cell_angle_beta 100.21
_cell_angle_gamma 90.00
_space_group_name_H-M_alt 'C 1 2/c 1'
_space_group_IT_number 15
_space_group_name_Hall '-C 2yc'
loop_
_atom_site_label
_atom_site_type_symbol
_atom_site_fract_x
_atom_site_fract_y
_atom_site_fract_z
Cr1 Cr 0.000 0.089 0.250
Cr2 Cr 0.000 0.257 0.750
Ga1 Ga 0.182 0.405 0.297
S1 S 0.108 0.087 0.621
S2 S 0.122 0.231 0.100
S3 S 0.127 0.408 0.629


Entry 2:
# ThHg3Pb (PBE, optimized geometry)
# Spin magnetization: 0.000 μB per cell
# ΔE_f: 70 kJ/mol of formula units
data_ThHg3Pb
_chemical_formula_sum 'Th4 Hg12 Pb4'
_cell_length_a 5.979
_cell_length_b 19.403
_cell_length_c 5.401
_cell_angle_alpha 90.00
_cell_angle_beta 90.00
_cell_angle_gamma 90.00
_space_group_name_H-M_alt 'C m c m'
_space_group_IT_number 63
_space_group_name_Hall '-C 2c 2'
loop_
_atom_site_label
_atom_site_type_symbol
_atom_site_fract_x
_atom_site_fract_y
_atom_site_fract_z
Th1 Th 0.000 0.153 0.250
Hg1 Hg 0.000 0.000 0.000
Hg2 Hg 0.248 0.203 0.750
Pb1 Pb 0.000 0.445 0.250


Entry 3:
# NaRuCl6 (PBE, optimized geometry)
# Total energy: -0.127 hartree per atom
# Spin magnetization: 12.274 μB per cell
data_NaRuCl6
_chemical_formula_sum 'Na4 Ru4 Cl24'
_cell_length_a 10.642
_cell_length_b 8.175
_cell_length_c 10.089
_cell_angle_alpha 90.00
_cell_angle_beta 91.87
_cell_angle_gamma 90.00
_space_group_name_H-M_alt 'C 1 2/c 1'
_space_group_IT_number 15
_space_group_name_Hall '-C 2yc'
loop_
_atom_site_label
_atom_site_type_symbol
_atom_site_fract_x
_atom_site_fract_y
_atom_site_fract_z
Na1 Na 0.000 0.020 0.250
Ru1 Ru 0.250 0.250 0.000
Cl1 Cl 0.066 0.329 0.098
Cl2 Cl 0.158 0.293 0.792
Cl3 Cl 0.177 0.021 0.496


Entry 4:
# SrAc2O4 (PBE, optimized geometry)
# Total energy: -0.269 hartree per atom
# Spin magnetization: 0.000 μB per cell
data_SrAc2O4
_chemical_formula_sum 'Sr4 Ac8 O16'
_cell_length_a 10.753
_cell_length_b 3.781
_cell_length_c 12.762
_cell_angle_alpha 90.00
_cell_angle_beta 90.00
_cell_angle_gamma 90.00
_space_group_name_H-M_alt 'P n m a'
_space_group_IT_number 62
_space_group_name_Hall '-P 2ac 2n'
loop_
_atom_site_label
_atom_site_type_symbol
_atom_site_fract_x
_atom_site_fract_y
_atom_site_fract_z
Sr1 Sr 0.249 0.250 0.141
Ac1 Ac 0.065 0.750 0.380
Ac2 Ac 0.098 0.750 0.889
O1 O 0.028 0.750 0.705
O2 O 0.063 0.750 0.089
O3 O 0.148 0.250 0.509
O4 O 0.227 0.250 0.803


Entry 5:
# HgGeSe3 (PBE, optimized geometry)
# Total energy: -0.117 hartree per atom
# Spin magnetization: 0.000 μB per cell
data_HgGeSe3
_chemical_formula_sum 'Hg8 Ge8 Se24'
_cell_length_a 13.439
_cell_length_b 11.653
_cell_length_c 6.711
_cell_angle_alpha 90.00
_cell_angle_beta 93.84
_cell_angle_gamma 90.00
_space_group_name_H-M_alt 'C 1 2/c 1'
_space_group_IT_number 15
_space_group_name_Hall '-C 2yc'
loop_
_atom_site_label
_atom_site_type_symbol
_atom_site_fract_x
_atom_site_fract_y
_atom_site_fract_z
Hg1 Hg 0.125 0.085 0.255
Ge1 Ge 0.000 0.263 0.750
Ge2 Ge 0.000 0.421 0.250
Se1 Se 0.110 0.421 0.598
Se2 Se 0.116 0.283 0.073
Se3 Se 0.141 0.128 0.647


Entry 6:
# Mn2NiN (PBE, optimized geometry)
# Total energy: -0.302 hartree per atom
# Spin magnetization: 16.383 μB per cell
data_Mn2NiN
_chemical_formula_sum 'Mn6 Ni3 N3'
_cell_length_a 2.7715
_cell_length_b 2.7715
_cell_length_c 18.7474
_cell_angle_alpha 90.00
_cell_angle_beta 90.00
_cell_angle_gamma 120.00
_space_group_name_H-M_alt 'R 3 m'
_space_group_IT_number 160
_space_group_name_Hall 'R 3 -2"'
loop_
_atom_site_label
_atom_site_type_symbol
_atom_site_fract_x
_atom_site_fract_y
_atom_site_fract_z
Mn1 Mn 0.0000 0.0000 0.0000
Mn2 Mn 0.0000 0.0000 0.2119
Ni1 Ni 0.0000 0.0000 0.7744
N1 N 0.0000 0.0000 0.6078


Entry 7:
# BaAc2Cd9 (PBE, optimized geometry)
# Spin magnetization: 0.000 μB per cell
# ΔE_f: -310 kJ/mol of formula units
data_BaAc2Cd9
_chemical_formula_sum 'Ba3 Ac6 Cd27'
_cell_length_a 6.3101
_cell_length_b 6.3101
_cell_length_c 29.2957
_cell_angle_alpha 90.00
_cell_angle_beta 90.00
_cell_angle_gamma 120.00
_space_group_name_H-M_alt 'R -3 m'
_space_group_IT_number 166
_space_group_name_Hall '-R 3 2"'
loop_
_atom_site_label
_atom_site_type_symbol
_atom_site_fract_x
_atom_site_fract_y
_atom_site_fract_z
Ba1 Ba 0.0000 0.0000 0.0000
Ac1 Ac 0.0000 0.0000 0.1424
Cd1 Cd 0.0000 0.0000 0.3353
Cd2 Cd 0.0000 0.0000 0.5000
Cd3 Cd 0.0071 0.5035 0.9165


Entry 8:
# YTm2Os (PBE, optimized geometry)
# Spin magnetization: 0.000 μB per cell
# ΔE_f: -112 kJ/mol of formula units
data_YTm2Os
_chemical_formula_sum 'Y4 Tm8 Os4'
_cell_length_a 7.409
_cell_length_b 8.902
_cell_length_c 6.249
_cell_angle_alpha 90.00
_cell_angle_beta 90.00
_cell_angle_gamma 90.00
_space_group_name_H-M_alt 'P n m a'
_space_group_IT_number 62
_space_group_name_Hall '-P 2ac 2n'
loop_
_atom_site_label
_atom_site_type_symbol
_atom_site_fract_x
_atom_site_fract_y
_atom_site_fract_z
Y1 Y 0.037 0.250 0.124
Tm1 Tm 0.174 0.062 0.663
Os1 Os 0.118 0.750 0.455


Entry 9:
# ZrCr2Pb (PBE, optimized geometry)
# Spin magnetization: 4.064 μB per cell
# ΔE_f: 136 kJ/mol of formula units
data_ZrCr2Pb
_chemical_formula_sum 'Zr1 Cr2 Pb1'
_cell_length_a 4.462
_cell_length_b 4.462
_cell_length_c 3.584
_cell_angle_alpha 90.00
_cell_angle_beta 90.00
_cell_angle_gamma 90.00
_space_group_name_H-M_alt 'P 4/m m m'
_space_group_IT_number 123
_space_group_name_Hall '-P 4 2'
loop_
_atom_site_label
_atom_site_type_symbol
_atom_site_fract_x
_atom_site_fract_y
_atom_site_fract_z
Zr1 Zr 0.000 0.000 0.000
Cr1 Cr 0.000 0.500 0.500
Pb1 Pb 0.500 0.500 0.000


Entry 10:
# FePt2WN (PBE, optimized geometry)
# Total energy: -0.272 hartree per atom
# Spin magnetization: 3.685 μB per cell
data_FePt2WN
_chemical_formula_sum 'Fe1 Pt2 W1 N1'
_cell_length_a 4.970
_cell_length_b 4.970
_cell_length_c 3.787
_cell_angle_alpha 90.00
_cell_angle_beta 90.00
_cell_angle_gamma 90.00
_space_group_name_H-M_alt 'P 4/m m m'
_space_group_IT_number 123
_space_group_name_Hall '-P 4 2'
loop_
_atom_site_label
_atom_site_type_symbol
_atom_site_fract_x
_atom_site_fract_y
_atom_site_fract_z
Fe1 Fe 0.000 0.000 0.000
Pt1 Pt 0.000 0.500 0.500
W1 W 0.500 0.500 0.500
N1 N 0.500 0.500 0.000


Entry 11:
# Ho8CdGa2 (PBE, optimized geometry)
# Spin magnetization: 0.000 μB per cell
# ΔE_f: -247 kJ/mol of formula units
data_Ho8CdGa2
_chemical_formula_sum 'Ho16 Cd2 Ga4'
_cell_length_a 17.680
_cell_length_b 4.960
_cell_length_c 7.110
_cell_angle_alpha 90.00
_cell_angle_beta 103.96
_cell_angle_gamma 90.00
_space_group_name_H-M_alt 'C 1 2/m 1'
_space_group_IT_number 12
_space_group_name_Hall '-C 2y'
loop_
_atom_site_label
_atom_site_type_symbol
_atom_site_fract_x
_atom_site_fract_y
_atom_site_fract_z
Ho1 Ho 0.030 0.000 0.252
Ho2 Ho 0.093 0.500 0.966
Ho3 Ho 0.168 0.500 0.453
Ho4 Ho 0.195 0.000 0.801
Cd1 Cd 0.000 0.500 0.500
Ga1 Ga 0.196 0.000 0.217